1.
{
  "formula": "Sr2NiRu",
  "functional": "PBE",
  "state": "optimized geometry",
  "lattice_angstrom": [[4.279, 0.000, 0.000], [0.000, 4.741, 0.000], [0.000, 2.370, 5.314]],
  "species": ["Sr", "Sr", "Ni", "Ru"],
  "frac_coords": [[0.500, 0.269, 0.337], [0.000, 0.979, 0.917], [0.000, 0.667, 0.541], [0.500, 0.585, 0.705]],
  "ef_ev_per_atom": 0.1506,
  "total_energy_ev_per_atom": -4.4546
}



2.
{
  "formula": "SrNi2Ru",
  "functional": "PBE",
  "state": "optimized geometry",
  "lattice_angstrom": [[-1.558, 0.099, -4.461], [4.248, -1.460, -1.470], [-2.895, -2.297, 2.946]],
  "species": ["Sr", "Ni", "Ni", "Ru"],
  "frac_coords": [[0.250, 0.750, 0.500], [0.559, 0.559, 0.000], [0.941, 0.941, 0.000], [0.750, 0.250, 0.500]],
  "relative_energy_ev_per_fu": 1.97,
  "ef_ev_per_atom": 0.5492,
  "total_energy_ev_per_atom": -5.0809
}



3.
{
  "formula": "SrNiRu2",
  "functional": "PBE",
  "state": "optimized geometry",
  "lattice_angstrom": [[3.133, 0.000, 0.000], [0.000, 3.133, 0.000], [0.000, 0.000, 7.303]],
  "species": ["Ni", "Ru", "Ru", "Sr"],
  "frac_coords": [[0.500, 0.500, 0.817], [0.500, 0.500, 0.178], [0.000, 0.000, 0.996], [0.000, 0.000, 0.509]],
  "relative_energy_ev_per_fu": 0.91,
  "ef_ev_per_atom": 0.4331,
  "total_energy_ev_per_atom": -6.0707
}



4.
{
  "formula": "SrNi2Ru",
  "functional": "PBE",
  "state": "optimized geometry",
  "lattice_angstrom": [[-4.080, 0.541, -0.741], [-2.487, -3.320, -0.532], [-3.141, -1.039, 4.741]],
  "species": ["Sr", "Ni", "Ni", "Ru"],
  "frac_coords": [[0.750, 0.750, 0.750], [0.938, 0.938, 0.186], [0.562, 0.562, 0.314], [0.250, 0.250, 0.250]],
  "relative_energy_ev_per_fu": 0.00,
  "ef_ev_per_atom": 0.0576,
  "total_energy_ev_per_atom": -5.5725
}



5.
{
  "formula": "SrNiRu",
  "functional": "PBE",
  "state": "optimized geometry",
  "lattice_angstrom": [[4.058, 0.000, 0.000], [-2.029, 3.514, 0.000], [0.000, 0.000, 4.706]],
  "species": ["Sr", "Ni", "Ru"],
  "frac_coords": [[0.333, 0.667, 0.667], [0.000, 0.000, 0.167], [0.667, 0.333, 0.167]],
  "relative_energy_ev_per_fu": 0.18,
  "ef_ev_per_atom": 0.2774,
  "total_energy_ev_per_atom": -5.3023
}



6.
{
  "formula": "SrNiRu2",
  "functional": "PBE",
  "state": "optimized geometry",
  "lattice_angstrom": [[5.624, 0.007, 0.002], [2.658, 4.956, -0.002], [-3.421, -3.683, 2.522]],
  "species": ["Ru", "Ru", "Ni", "Sr"],
  "frac_coords": [[0.783, 0.283, 0.500], [0.001, 0.001, 0.000], [0.219, 0.719, 0.500], [0.497, 0.497, 0.000]],
  "relative_energy_ev_per_fu": 2.07,
  "ef_ev_per_atom": 0.7230,
  "total_energy_ev_per_atom": -5.7807
}



7.
{
  "formula": "SrNi2Ru",
  "functional": "PBE",
  "state": "optimized geometry",
  "lattice_angstrom": [[-2.598, 2.189, 4.467], [0.307, -2.469, 5.030], [2.414, 2.561, -4.371]],
  "species": ["Sr", "Ru", "Ni", "Ni"],
  "frac_coords": [[0.246, 0.746, 0.500], [0.533, 0.533, 0.000], [0.753, 0.253, 0.500], [0.968, 0.968, 0.000]],
  "relative_energy_ev_per_fu": 1.90,
  "ef_ev_per_atom": 0.5338,
  "total_energy_ev_per_atom": -5.0963
}



8.
{
  "formula": "SrNi2Ru",
  "functional": "PBE",
  "state": "optimized geometry",
  "lattice_angstrom": [[-2.420, -2.683, -3.109], [1.089, -3.409, 3.150], [-2.389, 0.531, 1.401]],
  "species": ["Ni", "Ni", "Sr", "Ru"],
  "frac_coords": [[0.500, 0.500, 0.000], [0.000, 0.000, 0.000], [0.000, 0.500, 0.500], [0.500, 0.000, 0.500]],
  "relative_energy_ev_per_fu": 1.93,
  "ef_ev_per_atom": 0.5413,
  "total_energy_ev_per_atom": -5.0888
}



9.
{
  "formula": "SrNi2Ru",
  "functional": "PBE",
  "state": "optimized geometry",
  "lattice_angstrom": [[-2.012, -8.929, -0.109], [0.322, -9.011, 1.577], [-2.261, -8.442, 2.720]],
  "species": ["Ni", "Ni", "Ru", "Sr"],
  "frac_coords": [[0.238, 0.238, 0.238], [0.762, 0.762, 0.762], [0.500, 0.500, 0.500], [0.000, 0.000, 0.000]],
  "relative_energy_ev_per_fu": 3.10,
  "ef_ev_per_atom": 0.8331,
  "total_energy_ev_per_atom": -4.7970
}



10.
{
  "formula": "SrNiRu2",
  "functional": "PBE",
  "state": "optimized geometry",
  "lattice_angstrom": [[5.789, 0.001, -0.007], [3.229, 4.805, 0.007], [-3.914, -3.520, 2.410]],
  "species": ["Ni", "Ru", "Ru", "Sr"],
  "frac_coords": [[0.250, 0.750, 0.500], [0.465, 0.465, 0.000], [0.035, 0.035, 0.000], [0.750, 0.250, 0.500]],
  "relative_energy_ev_per_fu": 1.30,
  "ef_ev_per_atom": 0.5307,
  "total_energy_ev_per_atom": -5.9730
}



11.
{
  "formula": "SrNiRu",
  "functional": "PBE",
  "state": "optimized geometry",
  "lattice_angstrom": [[-2.786, -2.491, -2.672], [0.751, -4.500, -0.538], [-2.871, -3.050, 1.887]],
  "species": ["Sr", "Ni", "Ru"],
  "frac_coords": [[0.250, 0.250, 0.250], [0.000, 0.000, 0.000], [0.500, 0.500, 0.500]],
  "relative_energy_ev_per_fu": 4.04,
  "ef_ev_per_atom": 1.5650,
  "total_energy_ev_per_atom": -4.0146
}



12.
{
  "formula": "SrNi2Ru",
  "functional": "PBE",
  "state": "optimized geometry",
  "lattice_angstrom": [[-0.259, -4.776, -0.535], [2.032, 0.377, -4.346], [7.964, -2.946, 0.803]],
  "species": ["Ni", "Ni", "Ni", "Ni", "Sr", "Sr", "Ru", "Ru"],
  "frac_coords": [[0.375, 0.126, 0.750], [0.876, 0.625, 0.250], [0.874, 0.125, 0.250], [0.875, 0.124, 0.750], [0.500, 0.500, 0.000], [0.250, 0.750, 0.500], [0.750, 0.250, 0.500], [0.000, 0.000, 0.000]],
  "relative_energy_ev_per_fu": 1.67,
  "ef_ev_per_atom": 0.4742,
  "total_energy_ev_per_atom": -5.1558
}



13.
{
  "formula": "Sr2NiRu",
  "functional": "PBE",
  "state": "optimized geometry",
  "lattice_angstrom": [[3.472, 0.204, 0.000], [-0.181, 3.474, 0.000], [0.000, 0.000, 8.740]],
  "species": ["Ru", "Ni", "Sr", "Sr"],
  "frac_coords": [[0.500, 0.500, 0.662], [0.000, 0.000, 0.586], [0.000, 0.000, 0.914], [0.500, 0.500, 0.338]],
  "ef_ev_per_atom": 0.3435,
  "total_energy_ev_per_atom": -4.2617
}



14.
{
  "formula": "Sr2Ni2Ru",
  "functional": "PBE",
  "state": "optimized geometry",
  "lattice_angstrom": [[-4.370, -1.380, 4.768], [2.631, -6.030, 0.666], [3.024, 1.679, 3.257]],
  "species": ["Ru", "Ru", "Sr", "Sr", "Sr", "Sr", "Ni", "Ni", "Ni", "Ni"],
  "frac_coords": [[0.000, 0.000, 0.000], [0.500, 0.500, 0.000], [0.184, 0.684, 0.500], [0.816, 0.316, 0.500], [0.684, 0.816, 0.500], [0.316, 0.184, 0.500], [0.371, 0.871, 0.000], [0.871, 0.629, 0.000], [0.629, 0.129, 0.000], [0.129, 0.371, 0.000]],
  "relative_energy_ev_per_fu": 0.00,
  "ef_ev_per_atom": 0.2814,
  "total_energy_ev_per_atom": -4.5590
}



15.
{
  "formula": "SrNi2Ru",
  "functional": "PBE",
  "state": "optimized geometry",
  "lattice_angstrom": [[-4.358, 0.389, 1.196], [-1.377, -1.473, 4.063], [-1.217, 2.977, 3.198]],
  "species": ["Ru", "Ni", "Ni", "Sr"],
  "frac_coords": [[0.500, 0.500, 0.500], [0.000, 0.000, 0.000], [0.750, 0.750, 0.750], [0.250, 0.250, 0.250]],
  "relative_energy_ev_per_fu": 2.55,
  "ef_ev_per_atom": 0.6957,
  "total_energy_ev_per_atom": -4.9344
}